The following is a DFT calculation (PBE) of an optimized crystal structure of Sm3PCl7.

abc: 8.4266 8.4266 6.5086
angles: 90.00 90.00 120.00
With the nearest neighbours (Å) after each atom.
Space group P3m1 (No. 156)
Inequivalent atoms, fractional coordinates:
Sm (0.0065, 0.5032, 0.0000)  5 Cl 2.72-2.91, 1 P 2.79
P (0.3333, 0.6667, 0.2218)  3 Sm 2.79
Cl (0.1830, 0.3661, 0.7703)  2 Sm 2.74
Cl (0.3593, 0.1797, 0.2065)  2 Sm 2.72
Cl (0.6667, 0.3333, 0.7656)  3 Sm 2.91

## Properties
**Uncorrected formation energy**: -1.908 eV per atom
**Magnetic moment**: 0.095 μB per atom